A relaxed ErLuNb4 crystal. Source: the Alexandria database, functional PBE-GGA.

Calculated values
Calculated density ... 9.078 g/cm³
Energy of formation ... 0.1511 eV/atom

```
data_ErLuNb4
_chemical_formula_sum 'Er4 Lu4 Nb16'
_cell_length_a 8.053
_cell_length_b 8.053
_cell_length_c 8.053
_cell_angle_alpha 90.00
_cell_angle_beta 90.00
_cell_angle_gamma 90.00
_symmetry_space_group_name_H-M 'F -4 3 m'
_symmetry_Int_Tables_number 216
_symmetry_space_group_name_Hall 'F -4 2 3'
loop_
_atom_site_label
_atom_site_fract_x
_atom_site_fract_y
_atom_site_fract_z
Er1 0.000 0.000 0.000
Lu1 0.250 0.250 0.250
Nb1 0.125 0.125 0.625
```